No. 1
Here is a relaxed structure of LiPdF2 from the Alexandria database. Energies are from GGA-PBE.

## Properties
uncorrected formation energy: -30.012 kcal/mol of atoms
magnetic moment: 1.0 μB per formula unit
energy above the most stable polymorph in this dataset: 611 meV per atom
D(E_F): 5.11 states/eV/f.u.

Geometry as CIF:
```
data_LiPdF2
_chemical_formula_sum 'Li1 Pd1 F2'
_cell_length_a 4.044
_cell_length_b 4.044
_cell_length_c 4.044
_cell_angle_alpha 60.00
_cell_angle_beta 60.00
_cell_angle_gamma 60.00
_symmetry_space_group_name_H-M 'P 1'
_symmetry_Int_Tables_number 1
_symmetry_space_group_name_Hall 'P 1'
loop_
_atom_site_label
_atom_site_fract_x
_atom_site_fract_y
_atom_site_fract_z
Li1 0.000 0.000 0.000
Pd1 0.500 0.500 0.500
F1 0.250 0.250 0.250
F2 0.750 0.750 0.750
```

***

No. 2
Here is a relaxed structure of LiPd3F from the Alexandria database. Energies are from GGA-PBE.

## Properties
uncorrected formation energy: 1.855 kcal/mol of atoms
magnetic moment: 0.0 μB per formula unit
energy above the most stable polymorph in this dataset: 0 meV per atom
D(E_F): 9.38 states/eV/f.u.

Geometry as CIF:
```
data_LiPd3F
_chemical_formula_sum 'Li1 Pd3 F1'
_cell_length_a 4.388
_cell_length_b 4.388
_cell_length_c 4.388
_cell_angle_alpha 90.00
_cell_angle_beta 90.00
_cell_angle_gamma 90.00
_symmetry_space_group_name_H-M 'P 1'
_symmetry_Int_Tables_number 1
_symmetry_space_group_name_Hall 'P 1'
loop_
_atom_site_label
_atom_site_fract_x
_atom_site_fract_y
_atom_site_fract_z
Li1 0.500 0.500 0.500
Pd1 0.000 0.500 0.000
Pd2 0.000 0.000 0.500
Pd3 0.500 0.000 0.000
F1 0.000 0.000 0.000
```

***

No. 3
Here is a relaxed structure of LiPdF from the Alexandria database. Energies are from GGA-PBE.

## Properties
uncorrected formation energy: -33.667 kcal/mol of atoms
magnetic moment: 0.0 μB per formula unit
energy above the most stable polymorph in this dataset: 252 meV per atom
D(E_F): 2.11 states/eV/f.u.

Geometry as CIF:
```
data_LiPdF
_chemical_formula_sum 'Li4 Pd4 F4'
_cell_length_a 4.706
_cell_length_b 2.663
_cell_length_c 12.916
_cell_angle_alpha 90.00
_cell_angle_beta 90.00
_cell_angle_gamma 90.00
_symmetry_space_group_name_H-M 'P 1'
_symmetry_Int_Tables_number 1
_symmetry_space_group_name_Hall 'P 1'
loop_
_atom_site_label
_atom_site_fract_x
_atom_site_fract_y
_atom_site_fract_z
Li1 0.748 0.250 0.282
Li2 0.752 0.750 0.782
Li3 0.252 0.750 0.718
Li4 0.248 0.250 0.218
Pd1 0.254 0.250 0.478
Pd2 0.246 0.750 0.978
Pd3 0.746 0.750 0.522
Pd4 0.754 0.250 0.022
F1 0.973 0.250 0.711
F2 0.527 0.750 0.211
F3 0.027 0.750 0.289
F4 0.473 0.250 0.789
```

***

Repeat the second record exactly.
Here is a relaxed structure of LiPd3F from the Alexandria database. Energies are from GGA-PBE.

## Properties
uncorrected formation energy: 1.855 kcal/mol of atoms
magnetic moment: 0.0 μB per formula unit
energy above the most stable polymorph in this dataset: 0 meV per atom
D(E_F): 9.38 states/eV/f.u.

Geometry as CIF:
```
data_LiPd3F
_chemical_formula_sum 'Li1 Pd3 F1'
_cell_length_a 4.388
_cell_length_b 4.388
_cell_length_c 4.388
_cell_angle_alpha 90.00
_cell_angle_beta 90.00
_cell_angle_gamma 90.00
_symmetry_space_group_name_H-M 'P 1'
_symmetry_Int_Tables_number 1
_symmetry_space_group_name_Hall 'P 1'
loop_
_atom_site_label
_atom_site_fract_x
_atom_site_fract_y
_atom_site_fract_z
Li1 0.500 0.500 0.500
Pd1 0.000 0.500 0.000
Pd2 0.000 0.000 0.500
Pd3 0.500 0.000 0.000
F1 0.000 0.000 0.000
```